CuIr2Os: optimized geometry, PBE.

Computed properties:
crystal system: tetragonal
energy above the lowest structure with this stoichiometry: 4.76 eV per formula unit
DOS at the Fermi energy: 24.45 states/eV/cell

a = 5.980 Å, b = 5.980 Å, c = 9.046 Å
α = 90.00°, β = 90.00°, γ = 90.00°
Space group I-42d (No. 122)
Inequivalent atoms, fractional coordinates:
Cu: 0.000 0.000 0.000 [4 per cell]
Ir: 0.242 0.250 0.625 [8 per cell]
Os: 0.000 0.000 0.500 [4 per cell]